*one*
GGA-PBE Bi6O5F8, optimized geometry; D(E_F) = 0.00 states/eV/f.u.; total magnetization = 0.00 μB/f.u.; calculated density = 8.5 g/cm³
1.0
5.754 0.000 0.000
0.000 5.876 0.000
0.000 -0.091 34.409
F O Bi
32 20 24
Direct
0.509 0.461 0.709 F
0.991 0.461 0.209 F
0.857 0.911 0.109 F
0.357 0.089 0.391 F
0.342 0.884 0.821 F
0.435 0.976 0.537 F
0.935 0.024 0.963 F
0.654 0.131 0.316 F
0.429 0.956 0.965 F
0.126 0.088 0.609 F
0.836 0.883 0.247 F
0.929 0.044 0.535 F
0.874 0.912 0.391 F
0.626 0.912 0.891 F
0.664 0.883 0.747 F
0.842 0.116 0.679 F
0.571 0.044 0.035 F
0.143 0.089 0.891 F
0.643 0.911 0.609 F
0.009 0.539 0.791 F
0.154 0.869 0.184 F
0.336 0.117 0.253 F
0.565 0.024 0.463 F
0.658 0.116 0.179 F
0.346 0.869 0.684 F
0.846 0.131 0.816 F
0.071 0.956 0.465 F
0.164 0.117 0.753 F
0.374 0.088 0.109 F
0.158 0.884 0.321 F
0.491 0.539 0.291 F
0.065 0.976 0.037 F
0.485 0.507 0.458 O
0.488 0.486 0.628 O
0.011 0.476 0.374 O
0.988 0.514 0.872 O
0.517 0.489 0.958 O
0.015 0.507 0.958 O
0.511 0.524 0.126 O
0.512 0.514 0.372 O
0.985 0.493 0.042 O
0.017 0.511 0.542 O
0.489 0.476 0.874 O
0.515 0.493 0.542 O
0.012 0.522 0.711 O
0.989 0.524 0.626 O
0.988 0.478 0.289 O
0.983 0.489 0.458 O
0.483 0.511 0.042 O
0.012 0.486 0.128 O
0.488 0.522 0.211 O
0.512 0.478 0.789 O
0.790 0.274 0.751 Bi
0.773 0.295 0.582 Bi
0.282 0.708 0.583 Bi
0.718 0.292 0.417 Bi
0.752 0.718 0.499 Bi
0.202 0.295 0.665 Bi
0.227 0.705 0.418 Bi
0.782 0.292 0.917 Bi
0.730 0.715 0.665 Bi
0.218 0.708 0.083 Bi
0.230 0.285 0.835 Bi
0.727 0.295 0.082 Bi
0.248 0.282 0.501 Bi
0.702 0.705 0.835 Bi
0.710 0.274 0.251 Bi
0.298 0.295 0.165 Bi
0.748 0.718 0.999 Bi
0.210 0.726 0.249 Bi
0.290 0.726 0.749 Bi
0.273 0.705 0.918 Bi
0.252 0.282 0.001 Bi
0.270 0.285 0.335 Bi
0.798 0.705 0.335 Bi
0.770 0.715 0.165 Bi

*two*
GGA-PBE Bi6O5F8, optimized geometry; D(E_F) = 0.00 states/eV/f.u.; total magnetization = 0.00 μB/f.u.; calculated density = 8.5 g/cm³
1.0
-3.376 2.008 -0.881
-0.879 -3.446 -4.690
-6.540 -7.751 6.914
Bi O F
6 5 8
Direct
0.256 0.768 0.072 Bi
0.747 0.232 0.249 Bi
0.763 0.218 0.584 Bi
0.755 0.200 0.917 Bi
0.325 0.785 0.440 Bi
0.262 0.785 0.751 Bi
0.751 0.985 0.078 O
0.246 0.002 0.599 O
0.733 0.051 0.418 O
0.255 0.990 0.915 O
0.756 0.981 0.763 O
0.781 0.465 0.760 F
0.256 0.961 0.250 F
0.248 0.412 0.223 F
0.710 0.682 0.564 F
0.738 0.574 0.344 F
0.752 0.498 0.086 F
0.261 0.505 0.927 F
0.235 0.405 0.505 F

Which of them is least stable? Easy: *two*.

*one*
GGA-PBE Bi5O7F, optimized geometry; D(E_F) = 0.00 states/eV/f.u.; total magnetization = 0.00 μB/f.u.; calculated density = 7.7 g/cm³
1.0
-0.213 -2.201 4.774
3.546 -13.860 -3.334
14.185 -3.223 2.045
O Bi F
28 20 4
Direct
0.485 0.995 0.897 O
0.502 0.583 0.916 O
0.498 0.083 0.416 O
0.996 0.250 0.250 O
0.502 0.917 0.584 O
0.515 0.005 0.103 O
0.496 0.250 0.250 O
0.303 0.225 0.078 O
0.377 0.603 0.505 O
0.697 0.775 0.922 O
0.623 0.397 0.495 O
0.895 0.725 0.578 O
0.998 0.084 0.417 O
0.605 0.422 0.275 O
0.002 0.916 0.583 O
0.504 0.750 0.750 O
0.998 0.416 0.083 O
0.123 0.495 0.397 O
0.877 0.505 0.603 O
0.015 0.103 0.005 O
0.197 0.922 0.775 O
0.002 0.584 0.917 O
0.985 0.897 0.995 O
0.395 0.578 0.725 O
0.498 0.417 0.084 O
0.803 0.078 0.225 O
0.105 0.275 0.422 O
0.004 0.750 0.750 O
0.531 0.516 0.356 Bi
0.698 0.552 0.052 Bi
0.302 0.448 0.948 Bi
0.198 0.052 0.552 Bi
0.598 0.856 0.016 Bi
0.969 0.644 0.484 Bi
0.822 0.274 0.112 Bi
0.469 0.484 0.644 Bi
0.708 0.226 0.388 Bi
0.402 0.144 0.984 Bi
0.792 0.612 0.774 Bi
0.322 0.112 0.274 Bi
0.902 0.984 0.144 Bi
0.098 0.016 0.856 Bi
0.802 0.948 0.448 Bi
0.678 0.888 0.726 Bi
0.178 0.726 0.888 Bi
0.292 0.774 0.612 Bi
0.208 0.388 0.226 Bi
0.031 0.356 0.516 Bi
0.154 0.596 0.096 F
0.846 0.404 0.904 F
0.654 0.096 0.596 F
0.346 0.904 0.404 F

*two*
GGA-PBE Bi5O7F, optimized geometry; D(E_F) = 0.00 states/eV/f.u.; total magnetization = 0.00 μB/f.u.; calculated density = 8.0 g/cm³
1.0
4.161 0.503 0.211
-0.988 9.388 -0.711
0.134 -5.360 12.667
Bi F O
10 2 14
Direct
0.239 0.199 0.535 Bi
0.751 0.450 0.851 Bi
0.761 0.801 0.465 Bi
0.253 0.794 0.911 Bi
0.219 0.418 0.363 Bi
0.242 0.963 0.715 Bi
0.249 0.550 0.149 Bi
0.781 0.582 0.637 Bi
0.758 0.037 0.285 Bi
0.747 0.206 0.089 Bi
0.501 0.042 0.904 F
0.499 0.958 0.096 F
0.228 0.436 0.542 O
0.764 0.100 0.460 O
0.270 0.315 0.143 O
0.267 0.127 0.351 O
0.772 0.564 0.458 O
0.220 0.747 0.733 O
0.792 0.363 0.679 O
0.780 0.253 0.267 O
0.733 0.873 0.649 O
0.730 0.685 0.857 O
0.763 0.446 0.094 O
0.237 0.554 0.906 O
0.208 0.637 0.321 O
0.236 0.900 0.540 O

Which of them is least stable? Easy: *one*.

*one*
GGA-PBE Bi5O7F, optimized geometry; D(E_F) = 0.00 states/eV/f.u.; total magnetization = 0.00 μB/f.u.; calculated density = 7.9 g/cm³
1.0
10.496 0.252 0.831
9.625 4.194 0.831
5.855 1.294 12.313
O Bi F
14 10 2
Direct
0.322 0.322 0.664 O
0.632 0.632 0.760 O
0.368 0.368 0.240 O
0.218 0.218 0.459 O
0.081 0.081 0.668 O
0.919 0.919 0.332 O
0.553 0.553 0.572 O
0.734 0.734 0.913 O
0.782 0.782 0.541 O
0.177 0.177 0.858 O
0.447 0.447 0.428 O
0.678 0.678 0.336 O
0.266 0.266 0.087 O
0.823 0.823 0.142 O
0.530 0.530 0.745 Bi
0.787 0.787 0.357 Bi
0.712 0.712 0.161 Bi
0.213 0.213 0.643 Bi
0.622 0.622 0.931 Bi
0.104 0.104 0.485 Bi
0.470 0.470 0.255 Bi
0.896 0.896 0.515 Bi
0.378 0.378 0.069 Bi
0.288 0.288 0.839 Bi
0.052 0.052 0.088 F
0.948 0.948 0.912 F

*two*
GGA-PBE Bi5O7F, optimized geometry; D(E_F) = 0.00 states/eV/f.u.; total magnetization = 0.00 μB/f.u.; calculated density = 7.6 g/cm³
1.0
-2.021 -4.070 5.113
9.232 -6.895 -3.140
7.406 6.299 7.943
Bi O F
20 28 4
Direct
0.276 0.886 0.004 Bi
0.896 0.579 0.732 Bi
0.592 0.232 0.277 Bi
0.104 0.421 0.268 Bi
0.230 0.920 0.480 Bi
0.098 0.067 0.247 Bi
0.604 0.921 0.232 Bi
0.730 0.420 0.020 Bi
0.396 0.079 0.768 Bi
0.598 0.567 0.253 Bi
0.908 0.268 0.777 Bi
0.092 0.732 0.223 Bi
0.270 0.580 0.980 Bi
0.224 0.614 0.504 Bi
0.402 0.433 0.747 Bi
0.770 0.080 0.520 Bi
0.776 0.386 0.496 Bi
0.408 0.768 0.723 Bi
0.724 0.114 0.996 Bi
0.902 0.933 0.753 Bi
0.482 0.004 0.102 O
0.963 0.086 0.835 O
0.721 0.413 0.728 O
0.127 0.765 0.404 O
0.890 0.489 0.166 O
0.110 0.511 0.834 O
0.982 0.504 0.398 O
0.463 0.586 0.665 O
0.999 0.999 0.605 O
0.610 0.011 0.666 O
0.279 0.587 0.272 O
0.518 0.996 0.898 O
0.873 0.235 0.596 O
0.627 0.265 0.096 O
0.373 0.735 0.904 O
0.018 0.496 0.602 O
0.390 0.989 0.334 O
0.368 0.780 0.142 O
0.868 0.280 0.358 O
0.037 0.914 0.165 O
0.632 0.220 0.858 O
0.537 0.414 0.335 O
0.132 0.720 0.642 O
0.001 0.001 0.395 O
0.221 0.913 0.772 O
0.779 0.087 0.228 O
0.499 0.499 0.895 O
0.501 0.501 0.105 O
0.513 0.217 0.470 F
0.013 0.717 0.030 F
0.487 0.783 0.530 F
0.987 0.283 0.970 F

Which of them is least stable? Easy: *two*.

*one*
GGA-PBE Bi7O6F9, optimized geometry; D(E_F) = 0.00 states/eV/f.u.; total magnetization = 0.00 μB/f.u.; calculated density = 8.0 g/cm³
1.0
5.842 0.000 0.000
0.000 5.867 0.000
0.000 -2.933 20.871
Bi F O
14 18 12
Direct
0.308 0.306 0.205 Bi
0.256 0.438 0.500 Bi
0.293 0.956 0.348 Bi
0.744 0.938 0.500 Bi
0.251 0.249 0.942 Bi
0.707 0.456 0.348 Bi
0.293 0.109 0.652 Bi
0.707 0.609 0.652 Bi
0.308 0.601 0.795 Bi
0.251 0.807 0.058 Bi
0.692 0.806 0.205 Bi
0.692 0.101 0.795 Bi
0.749 0.307 0.058 Bi
0.749 0.749 0.942 Bi
0.887 0.581 0.500 F
0.913 0.712 0.738 F
0.113 0.081 0.500 F
0.087 0.212 0.738 F
0.944 0.054 0.874 F
0.537 0.261 0.564 F
0.087 0.974 0.262 F
0.944 0.680 0.126 F
0.463 0.761 0.564 F
0.122 0.342 0.394 F
0.913 0.474 0.262 F
0.463 0.697 0.436 F
0.056 0.554 0.874 F
0.878 0.947 0.606 F
0.056 0.180 0.126 F
0.878 0.842 0.394 F
0.537 0.197 0.436 F
0.122 0.447 0.606 F
0.509 0.873 0.850 O
0.500 0.022 0.000 O
0.480 0.660 0.295 O
0.520 0.160 0.295 O
0.000 0.497 0.000 O
0.520 0.366 0.705 O
0.480 0.866 0.705 O
0.500 0.522 0.000 O
0.491 0.023 0.150 O
0.509 0.523 0.150 O
0.000 0.997 0.000 O
0.491 0.373 0.850 O

*two*
GGA-PBE Bi7O6F9, optimized geometry; D(E_F) = 0.00 states/eV/f.u.; total magnetization = 0.00 μB/f.u.; calculated density = 8.5 g/cm³
1.0
-3.236 -3.875 -2.742
8.678 -7.942 0.984
-5.927 -4.140 18.864
F Bi O
36 28 24
Direct
0.004 0.202 0.745 F
0.504 0.298 0.745 F
0.798 0.484 0.570 F
0.847 0.221 0.874 F
0.168 0.809 0.616 F
0.553 0.191 0.384 F
0.421 0.811 0.500 F
0.922 0.189 0.500 F
0.973 0.779 0.126 F
0.366 0.776 0.872 F
0.053 0.309 0.384 F
0.534 0.796 0.744 F
0.422 0.311 0.500 F
0.993 0.276 0.128 F
0.493 0.224 0.128 F
0.728 0.984 0.430 F
0.759 0.702 0.255 F
0.290 0.296 0.256 F
0.790 0.204 0.256 F
0.563 0.250 0.000 F
0.145 0.313 0.618 F
0.298 0.016 0.570 F
0.563 0.750 0.000 F
0.259 0.798 0.255 F
0.921 0.689 0.500 F
0.645 0.187 0.618 F
0.473 0.721 0.126 F
0.347 0.279 0.874 F
0.034 0.704 0.744 F
0.668 0.691 0.616 F
0.063 0.750 0.000 F
0.228 0.516 0.430 F
0.527 0.687 0.382 F
0.027 0.813 0.382 F
0.866 0.724 0.872 F
0.063 0.250 0.000 F
0.205 0.608 0.929 Bi
0.681 0.602 0.786 Bi
0.549 0.613 0.499 Bi
0.030 0.103 0.645 Bi
0.385 0.897 0.355 Bi
0.774 0.607 0.071 Bi
0.274 0.893 0.071 Bi
0.562 0.892 0.646 Bi
0.674 0.102 0.787 Bi
0.062 0.608 0.646 Bi
0.551 0.113 0.501 Bi
0.387 0.602 0.213 Bi
0.174 0.398 0.787 Bi
0.276 0.392 0.071 Bi
0.887 0.898 0.213 Bi
0.916 0.108 0.354 Bi
0.705 0.892 0.929 Bi
0.395 0.102 0.214 Bi
0.051 0.387 0.501 Bi
0.203 0.107 0.929 Bi
0.885 0.603 0.355 Bi
0.049 0.887 0.499 Bi
0.181 0.898 0.786 Bi
0.776 0.108 0.071 Bi
0.416 0.392 0.354 Bi
0.895 0.398 0.214 Bi
0.703 0.393 0.929 Bi
0.530 0.397 0.645 Bi
0.994 0.000 0.000 O
0.349 0.007 0.708 O
0.231 0.011 0.432 O
0.141 0.507 0.292 O
0.640 0.488 0.288 O
0.731 0.489 0.432 O
0.298 0.511 0.568 O
0.494 0.000 0.000 O
0.849 0.493 0.708 O
0.094 0.506 0.145 O
0.449 0.006 0.855 O
0.949 0.494 0.855 O
0.352 0.512 0.712 O
0.494 0.500 0.000 O
0.140 0.012 0.288 O
0.595 0.495 0.146 O
0.594 0.994 0.145 O
0.641 0.993 0.292 O
0.949 0.995 0.854 O
0.095 0.005 0.146 O
0.994 0.500 0.000 O
0.852 0.988 0.712 O
0.449 0.505 0.854 O
0.798 0.989 0.568 O

Which of them is least stable? Easy: *one*.